Below is a relaxed La3Ce2Tl8 crystal, with properties calculated at the GGA-PBE level.

Volume (Å³ per cell): 432.23
Raw total energy (eV per atom): -3.553
Formation energy (eV per atom): -0.047

Lattice parameters (Å, degrees): 6.4495 6.4495 12.5631 75.13 75.13 60.00
With the nearest neighbours (Å) after each atom.
Fractional coordinates of all 13 atoms:
1 Tl 0.2820 0.2820 0.6527  4 Tl 3.22-3.23, 1 Ce 3.27, 3 La 3.32-3.42
2 Tl 0.2168 0.7180 0.3473  4 Tl 3.22-3.23, 1 Ce 3.27, 3 La 3.32-3.42
3 Tl 0.7180 0.2168 0.3473  4 Tl 3.22-3.23, 1 Ce 3.27, 3 La 3.32-3.42
4 Tl 0.2880 0.2880 0.1359  1 Ce 3.11, 1 La 3.33
5 Tl 0.7120 0.7120 0.8641  1 Ce 3.11, 1 La 3.33
6 Tl 0.2820 0.7832 0.6527  4 Tl 3.22-3.23, 1 Ce 3.27, 3 La 3.32-3.42
7 Tl 0.7832 0.2820 0.6527  4 Tl 3.22-3.23, 1 Ce 3.27, 3 La 3.32-3.42
8 Tl 0.7180 0.7180 0.3473  4 Tl 3.22-3.23, 1 Ce 3.27, 3 La 3.32-3.42
9 Ce 0.3744 0.3744 0.8767  4 Tl 3.11-3.27
10 Ce 0.6256 0.6256 0.1233  4 Tl 3.11-3.27
11 La 0.0000 0.0000 0.0000  6 Ce 4.01, 6 Tl 4.07
12 La 0.1955 0.1955 0.4136  10 Tl 3.32-3.42
13 La 0.8045 0.8045 0.5864  10 Tl 3.32-3.42

=====

Below is a relaxed LaYHg2 crystal, with properties calculated at the GGA-PBE level.

Volume (Å³ per cell): 111.25
Raw total energy (eV per atom): -3.501
Formation energy (eV per atom): -0.502

Lattice parameters (Å, degrees): 3.7603 3.7602 7.8682 90.00 90.00 90.00
With the nearest neighbours (Å) after each atom.
Fractional coordinates of all 4 atoms:
1 Hg 0.0000 0.0000 0.9759  4 Y 3.20, 4 La 3.42, 1 Hg 3.55
2 Hg 0.0000 0.0000 0.5241  4 Y 3.20, 4 La 3.42, 1 Hg 3.55
3 La 0.5000 0.5000 0.2500  8 Hg 3.42, 4 La 3.76
4 Y 0.5000 0.5000 0.7500  8 Hg 3.20

=====

Below is a relaxed LaGdErHg crystal, with properties calculated at the GGA-PBE level.

Volume (Å³ per cell): 118.38
Raw total energy (eV per atom): -6.064
Formation energy (eV per atom): -0.096

Lattice parameters (Å, degrees): 5.5114 5.5114 5.5114 60.00 60.00 60.00
With the nearest neighbours (Å) after each atom.
Fractional coordinates of all 4 atoms:
1 Gd 0.5000 0.5000 0.5000  4 Er 3.38, 4 Hg 3.38
2 La 0.0000 0.0000 0.0000  4 Hg 3.38, 4 Er 3.38
3 Hg 0.2500 0.2500 0.2500  4 La 3.38, 4 Gd 3.38
4 Er 0.7500 0.7500 0.7500  4 Gd 3.38, 4 La 3.38

=====

Below is a relaxed Nd5Sm3In4 crystal, with properties calculated at the GGA-PBE level.

Volume (Å³ per cell): 371.93
Raw total energy (eV per atom): -4.202
Formation energy (eV per atom): -0.123

Lattice parameters (Å, degrees): 5.8261 9.6786 8.1619 61.17 69.09 72.48
With the nearest neighbours (Å) after each atom.
Fractional coordinates of all 12 atoms:
1 In 0.0628 0.8190 0.0554  2 In 3.04-3.08
2 In 0.7227 0.2664 0.2882  1 In 3.04, 3 Nd 3.19-3.35
3 In 0.2773 0.7336 0.7118  1 In 3.04, 3 Nd 3.19-3.35
4 In 0.9372 0.1810 0.9446  2 In 3.04-3.08
5 Nd 0.8266 0.8828 0.4639  4 In 3.22-3.43, 4 Sm 3.40-3.60, 1 Nd 3.59
6 Nd 0.1734 0.1172 0.5361  4 In 3.22-3.43, 4 Sm 3.40-3.60, 1 Nd 3.59
7 Nd 0.6840 0.6530 0.9791  5 In 3.35-3.45, 2 Sm 3.59-3.62, 2 Nd 3.59-3.61
8 Nd 0.5000 0.5000 0.5000  2 Sm 2.91, 2 In 3.19
9 Nd 0.3160 0.3470 0.0209  5 In 3.35-3.45, 2 Sm 3.59-3.62, 2 Nd 3.59-3.61
10 Sm 0.0000 0.5000 0.5000  2 Nd 2.91
11 Sm 0.4313 0.9190 0.2184  1 Sm 3.02
12 Sm 0.5687 0.0810 0.7816  1 Sm 3.02

=====

Below is a relaxed Y4TlS6 crystal, with properties calculated at the GGA-PBE level.

Energy relative to the elements, uncorrected (eV/atom): -1.809
Volume (Å³ per cell): 547.76
Raw total energy (eV per atom): -6.626

Lattice parameters (Å, degrees): 3.9628 6.8835 20.9684 90.00 90.00 106.73
With the nearest neighbours (Å) after each atom.
Fractional coordinates of all 22 atoms:
1 Tl 0.6575 0.3151 0.2500  6 S 3.05-3.29
2 Tl 0.3425 0.6849 0.7500  6 S 3.05-3.29
3 S 0.9648 0.9295 0.8485  3 Y 2.64-2.68
4 S 0.0352 0.0705 0.3485  3 Y 2.64-2.68
5 S 0.2280 0.4560 0.9209  5 Y 2.82-2.86
6 S 0.7720 0.5440 0.0791  5 Y 2.82-2.86
7 S 0.3337 0.6674 0.2500  2 Y 2.60
8 S 0.0352 0.0705 0.1515  3 Y 2.64-2.68
9 S 0.7720 0.5440 0.4209  5 Y 2.82-2.86
10 S 0.9648 0.9295 0.6515  3 Y 2.64-2.68
11 S 0.5000 0.0000 0.5000  6 Y 2.77-3.09
12 S 0.5000 0.0000 0.0000  6 Y 2.77-3.09
13 S 0.6663 0.3326 0.7500  2 Y 2.60
14 S 0.2280 0.4560 0.5791  5 Y 2.82-2.86
15 Y 0.8682 0.7364 0.5412  6 S 2.64-2.82
16 Y 0.5982 0.1964 0.8664  5 S 2.60-2.86
17 Y 0.1318 0.2636 0.4588  6 S 2.64-2.82
18 Y 0.4018 0.8036 0.3664  5 S 2.60-2.86
19 Y 0.1318 0.2636 0.0412  6 S 2.64-2.82
20 Y 0.5982 0.1964 0.6336  5 S 2.60-2.86
21 Y 0.4018 0.8036 0.1336  5 S 2.60-2.86
22 Y 0.8682 0.7364 0.9588  6 S 2.64-2.82

=====

Below is a relaxed BaCe2S4 crystal, with properties calculated at the GGA-PBE level.

Energy relative to the elements, uncorrected (eV/atom): -2.023
Volume (Å³ per cell): 391.94
E above lowest polymorph (meV per atom): 0
Raw total energy (eV per atom): -6.351

Lattice parameters (Å, degrees): 4.1593 7.1233 13.8313 90.00 90.00 106.98
With the nearest neighbours (Å) after each atom.
Fractional coordinates of all 14 atoms:
1 S 0.7660 0.5320 0.1120  3 Ce 2.83-2.84
2 S 0.2340 0.4680 0.6120  3 Ce 2.83-2.84
3 S 0.7660 0.5320 0.3880  3 Ce 2.83-2.84
4 S 0.5000 0.0000 0.0000  4 Ce 2.89
5 S 0.0556 0.1112 0.2500  2 Ce 2.75
6 S 0.5000 0.0000 0.5000  4 Ce 2.89
7 S 0.9444 0.8888 0.7500  2 Ce 2.75
8 S 0.2340 0.4680 0.8880  3 Ce 2.83-2.84
9 Ce 0.8684 0.7369 0.9342  6 S 2.75-2.89
10 Ce 0.1316 0.2631 0.4342  6 S 2.75-2.89
11 Ce 0.1316 0.2631 0.0658  6 S 2.75-2.89
12 Ce 0.8684 0.7369 0.5658  6 S 2.75-2.89
13 Ba 0.6130 0.2259 0.7500  6 S 3.10-3.27
14 Ba 0.3870 0.7741 0.2500  6 S 3.10-3.27

=====

Below is a relaxed Pm4YSi4 crystal, with properties calculated at the GGA-PBE level.

Energy relative to the elements, uncorrected (eV/atom): -0.486
Volume (Å³ per cell): 483.75
Raw total energy (eV per atom): -5.726

Lattice parameters (Å, degrees): 6.0111 8.9709 8.9709 90.00 90.00 90.00
With the nearest neighbours (Å) after each atom.
Fractional coordinates of all 18 atoms:
1 Si 0.8543 0.2614 0.8674  1 Si 2.46
2 Si 0.3543 0.3674 0.2386  1 Si 2.46
3 Si 0.1457 0.8674 0.7386  1 Si 2.46
4 Si 0.6457 0.2386 0.6326  1 Si 2.46
5 Si 0.1457 0.1326 0.2614  1 Si 2.46
6 Si 0.6457 0.7614 0.3674  1 Si 2.46
7 Si 0.3543 0.6326 0.7614  1 Si 2.46
8 Si 0.8543 0.7386 0.1326  1 Si 2.46
9 Pm 0.8652 0.4171 0.1890  5 Si 2.93-3.21
10 Pm 0.6348 0.0829 0.3110  5 Si 2.93-3.21
11 Pm 0.8652 0.5829 0.8110  5 Si 2.93-3.21
12 Pm 0.3652 0.3110 0.9171  5 Si 2.93-3.21
13 Pm 0.1348 0.8110 0.4171  5 Si 2.93-3.21
14 Pm 0.1348 0.1890 0.5829  5 Si 2.93-3.21
15 Pm 0.6348 0.9171 0.6890  5 Si 2.93-3.21
16 Pm 0.3652 0.6890 0.0829  5 Si 2.93-3.21
17 Y 0.5000 0.5000 0.5000  4 Si 2.77
18 Y 0.0000 0.0000 0.0000  4 Si 2.77

=====

Below is a relaxed Ba3PtAu2 crystal, with properties calculated at the GGA-PBE level.

Volume (Å³ per cell): 377.71
Raw total energy (eV per atom): -3.758
Formation energy (eV per atom): -0.697

Lattice parameters (Å, degrees): 5.6039 8.8601 8.0190 90.00 89.99 71.56
With the nearest neighbours (Å) after each atom.
Fractional coordinates of all 12 atoms:
1 Pt 0.3376 0.3249 0.0000  8 Ba 3.36-3.40
2 Pt 0.6624 0.6751 0.0000  8 Ba 3.36-3.40
3 Ba 0.1707 0.6593 0.7619  3 Pt 3.39-3.40, 5 Au 3.44-3.55
4 Ba 0.8300 0.3407 0.7619  3 Pt 3.39-3.40, 5 Au 3.44-3.55
5 Ba 0.4993 0.0000 0.2437  2 Pt 3.36, 6 Au 3.41-3.48
6 Ba 0.1700 0.6593 0.2381  3 Pt 3.39-3.40, 5 Au 3.44-3.55
7 Ba 0.5007 0.0000 0.7563  2 Pt 3.36, 6 Au 3.41-3.48
8 Ba 0.8293 0.3407 0.2381  3 Pt 3.39-3.40, 5 Au 3.44-3.55
9 Au 0.0000 0.0000 0.0000  8 Ba 3.41-3.44
10 Au 0.0000 0.0000 0.5000  8 Ba 3.47-3.55
11 Au 0.3334 0.3332 0.5000  8 Ba 3.45-3.50
12 Au 0.6666 0.6668 0.5000  8 Ba 3.45-3.50